Th2TlPd: relaxed, PBE.

Unit cell a=4.8663 b=4.8663 c=4.4257 alpha=90.00 beta=90.00 gamma=90.00
Space group P4/mmm (No. 123)
Symmetry-distinct sites (fractional):
Th 0.0000 0.5000 0.0000 [2 per cell]
Tl 0.0000 0.0000 0.5000 [1 per cell]
Pd 0.5000 0.5000 0.5000 [1 per cell]

crystal system: tetragonal
polymorph energy (0 for the lowest one): 0.079 eV/atom
mass density: 12.28 g cm⁻³



ThTlPd2: relaxed, PBE.

Unit cell a=4.8631 b=4.8631 c=3.7171 alpha=90.00 beta=90.00 gamma=90.00
Space group P4/mmm (No. 123)
Symmetry-distinct sites (fractional):
Th 0.0000 0.0000 0.0000 [1 per cell]
Tl 0.5000 0.5000 0.0000 [1 per cell]
Pd 0.0000 0.5000 0.5000 [2 per cell]

crystal system: tetragonal
mass density: 12.26 g cm⁻³



Th4TlPd2: relaxed, PBE.

Unit cell a=4.3635 b=4.3635 c=37.8376 alpha=90.00 beta=90.00 gamma=120.00
Space group R-3m (No. 166, hexagonal axes)
Symmetry-distinct sites (fractional):
Th 0.0000 0.0000 0.1100 [6 per cell]
Th 0.0000 0.0000 0.3034 [6 per cell]
Tl 0.0000 0.0000 0.5000 [3 per cell]
Pd 0.0000 0.0000 0.4020 [6 per cell]

crystal system: trigonal
mass density: 10.74 g cm⁻³



ThTl2Pd: relaxed, PBE.

Unit cell a=3.3827 b=3.3827 c=32.5119 alpha=90.00 beta=90.00 gamma=120.00
Space group R-3m (No. 166, hexagonal axes)
Symmetry-distinct sites (fractional):
Th 0.0000 0.0000 0.0000 [3 per cell]
Tl 0.0000 0.0000 0.1007 [6 per cell]
Pd 0.0000 0.0000 0.5000 [3 per cell]

crystal system: trigonal
mass density: 11.55 g cm⁻³



What are the DFT formation energy values for these records? In order: -308 -437 -233 134 meV/atom.
What are the raw total energy values for these records? In order: -23.63 -21.92 -132.19 -50.43 eV/cell.
What are the N(E_F) values for these records? In order: 4.1 3.0 24.5 10.5 states/eV per cell.